1.
VASP calculation (PBE) on a geometry-optimized ScTlZnGe2 structure.

abc: 5.1730 5.4191 5.1730
angles: 90.00 90.00 90.00
Sites, in units of the cell vectors:
1 Sc 0.0000 0.0000 0.0000
2 Tl 0.5000 0.5000 0.5000
3 Ge 0.0000 0.0000 0.5000
4 Ge 0.5000 0.0000 0.0000
5 Zn 0.0000 0.5000 0.0000

Calculated values
Electronic total energy (eV/atom): -3.46


2.
VASP calculation (PBE) on a geometry-optimized Ga4IrRuRh2 structure.

abc: 4.2979 4.2979 7.4333
angles: 73.20 73.20 60.00
Sites, in units of the cell vectors:
1 Ir 0.0000 0.0000 0.0000
2 Ga 0.8739 0.8739 0.3784
3 Ga 0.1261 0.1261 0.6216
4 Ga 0.6239 0.6239 0.1283
5 Ga 0.3761 0.3761 0.8717
6 Ru 0.5000 0.5000 0.5000
7 Rh 0.2511 0.2511 0.2468
8 Rh 0.7489 0.7489 0.7532

Calculated values
Electronic total energy (eV/atom): -6.17


3.
VASP calculation (PBE) on a geometry-optimized NaEr2Tl structure.

abc: 3.6210 3.6210 9.1411
angles: 90.00 90.00 90.00
Sites, in units of the cell vectors:
1 Er 0.0000 0.0000 0.7850
2 Er 0.0000 0.0000 0.2150
3 Na 0.5000 0.5000 0.5000
4 Tl 0.5000 0.5000 0.0000

Calculated values
Distance to the lowest polymorph of the same formula (eV per atom): 0.059
Electronic total energy (eV/atom): -3.17


4.
VASP calculation (PBE) on a geometry-optimized TbGdH structure.

abc: 3.3696 3.3696 6.5085
angles: 105.00 105.00 90.00
Each line ends with the local moment (μB).
Sites, in units of the cell vectors:
1 Tb 0.7456 0.7456 0.4912  -0.04
2 Gd 0.0341 0.0341 0.0683  7.22
3 H 0.2202 0.2202 0.4405  0.00

Calculated values
Distance to the lowest polymorph of the same formula (eV per atom): 0.112
Electronic total energy (eV/atom): -7.49


5.
VASP calculation (PBE) on a geometry-optimized GeTe2SeN structure.

abc: 5.7718 5.7718 3.6623
angles: 90.00 90.00 90.00
Sites, in units of the cell vectors:
1 Ge 0.5000 0.5000 0.5000
2 Te 0.0000 0.5000 0.0000
3 Te 0.5000 0.0000 0.0000
4 N 0.0000 0.0000 0.5000
5 Se 0.0000 0.0000 0.0000

Calculated values
Formation energy from raw total energies (meV/atom): 924.1
Distance to the lowest polymorph of the same formula (eV per atom): 0.172
Electronic total energy (eV/atom): -3.62


6.
VASP calculation (PBE) on a geometry-optimized RbSc2SbSe structure.

abc: 5.2296 5.8227 5.2296
angles: 90.00 90.00 90.00
Sites, in units of the cell vectors:
1 Sc 0.0000 0.0000 0.5000
2 Sc 0.5000 0.0000 0.0000
3 Rb 0.0000 0.0000 0.0000
4 Se 0.5000 0.5000 0.5000
5 Sb 0.0000 0.5000 0.0000

Calculated values
Formation energy from raw total energies (meV/atom): 1470.9
Distance to the lowest polymorph of the same formula (eV per atom): 1.806
Electronic total energy (eV/atom): -2.78


7.
VASP calculation (PBE) on a geometry-optimized ZnAs2HO6 structure.

abc: 5.5536 8.6656 8.6656
angles: 85.19 61.59 61.59
Sites, in units of the cell vectors:
1 O 0.6178 0.6597 0.0257
2 O 0.6261 0.3114 0.2302
3 O 0.4691 0.7070 0.4067
4 O 0.9691 0.4067 0.7070
5 O 0.1178 0.0257 0.6597
6 O 0.8822 0.9743 0.3403
7 O 0.3739 0.6886 0.7698
8 O 0.5309 0.2930 0.5933
9 O 0.8739 0.7698 0.6886
10 O 0.1261 0.2302 0.3114
11 O 0.0309 0.5933 0.2930
12 O 0.3822 0.3403 0.9743
13 As 0.2957 0.3631 0.1903
14 As 0.2043 0.8097 0.6369
15 As 0.7957 0.1903 0.3631
16 As 0.7043 0.6369 0.8097
17 H 0.2500 0.3465 0.6535
18 H 0.7500 0.6535 0.3465
19 Zn 0.7500 0.2615 0.7385
20 Zn 0.2500 0.7385 0.2615

Calculated values
Electronic total energy (eV/atom): -5.43


8.
VASP calculation (PBE) on a geometry-optimized KTc structure.

abc: 3.1328 6.1569 17.5725
angles: 90.00 90.00 90.00
Sites, in units of the cell vectors:
1 K 0.0000 0.5000 0.0000
2 K 0.5000 0.0000 0.5000
3 K 0.5000 0.5000 0.1925
4 K 0.0000 0.0000 0.6925
5 K 0.5000 0.5000 0.8075
6 K 0.0000 0.0000 0.3075
7 Tc 0.0000 0.0000 0.8975
8 Tc 0.5000 0.0000 0.0000
9 Tc 0.0000 0.0000 0.1025
10 Tc 0.5000 0.5000 0.6025
11 Tc 0.5000 0.5000 0.3975
12 Tc 0.0000 0.5000 0.5000

Calculated values
Distance to the lowest polymorph of the same formula (eV per atom): 0.290
Electronic total energy (eV/atom): -4.69


9.
VASP calculation (PBE) on a geometry-optimized Rb2NaHgH4 structure.

abc: 6.0715 6.0715 6.0715
angles: 99.23 114.82 114.82
Sites, in units of the cell vectors:
1 Hg 0.0000 0.5000 0.5000
2 H 0.9206 0.5406 0.1597
3 H 0.0794 0.2392 0.6200
4 H 0.3808 0.8403 0.7608
5 H 0.6192 0.3800 0.4594
6 Rb 0.0000 0.0000 0.0000
7 Rb 0.5000 0.7500 0.2500
8 Na 0.5000 0.2500 0.7500

Calculated values
Electronic total energy (eV/atom): -2.06


10.
VASP calculation (PBE) on a geometry-optimized LiGaS2 structure.

abc: 9.6906 9.6906 4.8582
angles: 90.00 90.00 156.55
Sites, in units of the cell vectors:
1 Ga 0.0683 0.9317 0.2500
2 Ga 0.9317 0.0683 0.7500
3 Li 0.3131 0.6869 0.2500
4 Li 0.6869 0.3131 0.7500
5 S 0.9487 0.0513 0.2500
6 S 0.0513 0.9487 0.7500
7 S 0.8174 0.1826 0.7500
8 S 0.1826 0.8174 0.2500

Calculated values
Formation energy from raw total energies (meV/atom): -534.2
Electronic total energy (eV/atom): -3.83


11.
VASP calculation (PBE) on a geometry-optimized ReBrN2F structure.

abc: 3.9432 3.9432 4.1944
angles: 90.00 90.00 90.00
Each line ends with the local moment (μB).
Sites, in units of the cell vectors:
1 N 0.5000 0.0000 0.0000  0.21
2 N 0.0000 0.5000 0.0000  0.21
3 F 0.0000 0.0000 0.5000  -0.01
4 Br 0.5000 0.5000 0.5000  0.10
5 Re 0.0000 0.0000 0.0000  -0.15

Calculated values
Formation energy from raw total energies (meV/atom): 340.2
Distance to the lowest polymorph of the same formula (eV per atom): 0.000
Electronic total energy (eV/atom): -6.19


12.
VASP calculation (PBE) on a geometry-optimized LiAcZn4 structure.

abc: 5.5755 5.5755 5.5755
angles: 60.00 60.00 60.00
Sites, in units of the cell vectors:
1 Zn 0.1198 0.6267 0.6267
2 Zn 0.6267 0.6267 0.6267
3 Zn 0.6267 0.6267 0.1198
4 Zn 0.6267 0.1198 0.6267
5 Li 0.0000 0.0000 0.0000
6 Ac 0.2500 0.2500 0.2500

Calculated values
Distance to the lowest polymorph of the same formula (eV per atom): 0.000
Electronic total energy (eV/atom): -2.03


| no. | calculated density (g/cm³) | total magnetic moment (Bohr magnetons per cell) |
| --- | --- | --- |
| 1 | 5.268 | 0.0 |
| 2 | 11.525 | 0.0 |
| 3 | 7.785 | 0.0 |
| 4 | 7.659 | 7.4 |
| 5 | 5.727 | 0.0 |
| 6 | 3.922 | 0.0 |
| 7 | 3.270 | 0.0 |
| 8 | 4.030 | 0.0 |
| 9 | 3.933 | 0.0 |
| 10 | 2.575 | 0.0 |
| 11 | 7.973 | 0.5 |
| 12 | 6.715 | 0.0 |